VASP calculation (PBE with a Hubbard U) on WSeO2F after structural relaxation.

Values from the calculation:
- DOS at the Fermi energy (states/eV/cell) = 1.95
- total moment (μB/cell) = 4.44
- energy (eV per atom) = -4.50
- crystal system = tetragonal

The structure in POSCAR format:
```
WSeO2F
1.0
-2.2374 -1.8956 2.4352
2.8855 -0.2185 2.4810
-1.5609 4.7073 2.2301
F O Se W
1 2 1 1
direct
0.0000 0.0000 0.5000 F
0.0000 0.5000 0.0000 O
0.5000 0.0000 0.0000 O
0.0000 0.0000 0.0000 Se
0.5000 0.5000 0.5000 W
```